(1)
{
  "formula": "Pr2NdY8",
  "functional": "GGA-PBE",
  "state": "relaxed",
  "cell": [[-0.4274, 1.2228, -5.4903], [-9.9970, 1.3831, 1.5847], [-6.4744, 7.4413, 2.6597]],
  "species": ["Nd", "Y", "Y", "Y", "Y", "Pr", "Y", "Y", "Y", "Y", "Pr"],
  "fractional_positions": [[0.0000, 0.0000, 0.0000], [0.7636, 0.4536, 0.4536], [0.2690, 0.6043, 0.1353], [0.2690, 0.1353, 0.6043], [0.2364, 0.5464, 0.5464], [0.2502, 0.7156, 0.7156], [0.7672, 0.8144, 0.8144], [0.7310, 0.8647, 0.3957], [0.7310, 0.3957, 0.8647], [0.2328, 0.1856, 0.1856], [0.7498, 0.2844, 0.2844]],
  "dos_at_fermi_per_ev_atom": 1.72,
  "formation_enthalpy_0k_ev_per_atom": 0.1530
}



(2)
{
  "formula": "Pr6Nd7Y16",
  "functional": "GGA-PBE",
  "state": "relaxed",
  "cell": [[9.8778, 0.0000, 5.7029], [3.2926, 9.3129, 5.7029], [0.0000, 0.0000, 11.4059]],
  "species": ["Nd", "Nd", "Y", "Nd", "Y", "Pr", "Nd", "Y", "Y", "Y", "Pr", "Y", "Nd", "Pr", "Nd", "Y", "Y", "Y", "Y", "Y", "Y", "Y", "Y", "Pr", "Y", "Y", "Nd", "Pr", "Pr"],
  "fractional_positions": [[0.5000, 0.0000, 0.0000], [0.5000, 0.0000, 0.5000], [0.6491, 0.6491, 0.0528], [0.0000, 0.5000, 0.5000], [0.3509, 0.3509, 0.3509], [0.2501, 0.7499, 0.7499], [0.0000, 0.0000, 0.0000], [0.0528, 0.6491, 0.6491], [0.6065, 0.1312, 0.1312], [0.3509, 0.9472, 0.3509], [0.2501, 0.2501, 0.7499], [0.3935, 0.8688, 0.8688], [0.0000, 0.5000, 0.0000], [0.2501, 0.7499, 0.2501], [0.5000, 0.5000, 0.0000], [0.1312, 0.6065, 0.1312], [0.1312, 0.1312, 0.6065], [0.8688, 0.3935, 0.8688], [0.3509, 0.3509, 0.9472], [0.8688, 0.8688, 0.8688], [0.8688, 0.8688, 0.3935], [0.1312, 0.1312, 0.1312], [0.6491, 0.6491, 0.6491], [0.7499, 0.2501, 0.7499], [0.9472, 0.3509, 0.3509], [0.6491, 0.0528, 0.6491], [0.0000, 0.0000, 0.5000], [0.7499, 0.7499, 0.2501], [0.7499, 0.2501, 0.2501]],
  "dos_at_fermi_per_ev_atom": 1.55,
  "formation_enthalpy_0k_ev_per_atom": 0.2292
}



(3)
{
  "formula": "PrNdYZn",
  "functional": "GGA-PBE",
  "state": "relaxed",
  "cell": [[3.6517, 0.0000, 0.0000], [0.0000, 3.6517, 0.0000], [0.0000, 0.0000, 8.8564]],
  "species": ["Pr", "Nd", "Zn", "Y"],
  "fractional_positions": [[0.0000, 0.0000, 0.0777], [0.5000, 0.5000, 0.7766], [0.0000, 0.0000, 0.5603], [0.5000, 0.5000, 0.3701]],
  "dos_at_fermi_per_ev_atom": 1.21,
  "formation_enthalpy_0k_ev_per_atom": -0.1579
}



(4)
{
  "formula": "PrNdYZr",
  "functional": "GGA-PBE",
  "state": "relaxed",
  "cell": [[5.5750, 0.0000, 0.0000], [2.7875, 4.8281, 0.0000], [2.7875, 1.6094, 4.5520]],
  "species": ["Nd", "Zr", "Pr", "Y"],
  "fractional_positions": [[0.5000, 0.5000, 0.5000], [0.2500, 0.2500, 0.2500], [0.0000, 0.0000, 0.0000], [0.7500, 0.7500, 0.7500]],
  "dos_at_fermi_per_ev_atom": 1.82,
  "formation_enthalpy_0k_ev_per_atom": 0.2172
}



(5)
{
  "formula": "Pr5NdZn3",
  "functional": "GGA-PBE",
  "state": "relaxed",
  "cell": [[-0.3758, -1.4614, -6.8941], [-8.8553, -2.2685, 0.9636], [2.3360, 8.6691, -1.9651]],
  "species": ["Pr", "Pr", "Nd", "Pr", "Pr", "Pr", "Zn", "Zn", "Zn", "Nd", "Pr", "Pr", "Pr", "Zn", "Pr", "Zn", "Zn", "Pr"],
  "fractional_positions": [[0.7500, 0.0000, 0.3336], [0.2500, 0.6665, 0.0000], [0.0000, 0.0000, 0.0000], [0.0000, 0.6667, 0.3333], [0.2500, 0.0000, 0.6664], [0.0000, 0.3333, 0.6667], [0.7500, 0.0000, 0.6680], [0.7500, 0.3320, 0.3320], [0.2500, 0.6680, 0.6680], [0.5000, 0.0000, 0.0000], [0.5000, 0.6667, 0.3333], [0.2500, 0.3336, 0.3336], [0.7500, 0.6664, 0.6664], [0.2500, 0.3320, 0.0000], [0.7500, 0.3335, 0.0000], [0.2500, 0.0000, 0.3320], [0.7500, 0.6680, 0.0000], [0.5000, 0.3333, 0.6667]],
  "dos_at_fermi_per_ev_atom": 1.12,
  "formation_enthalpy_0k_ev_per_atom": -0.1268
}



(6)
{
  "formula": "Pr3Nd2Zn2",
  "functional": "GGA-PBE",
  "state": "relaxed",
  "cell": [[-3.5659, 1.0914, -0.3135], [-1.0778, -2.9917, 1.8438], [2.9928, 7.2373, 13.4925]],
  "species": ["Pr", "Zn", "Pr", "Zn", "Nd", "Pr", "Nd"],
  "fractional_positions": [[0.5864, 0.5000, 0.1728], [0.1450, 0.0000, 0.2900], [0.0000, 0.0000, 0.0000], [0.8550, 0.0000, 0.7100], [0.2985, 0.5000, 0.5970], [0.4136, 0.5000, 0.8272], [0.7015, 0.5000, 0.4030]],
  "dos_at_fermi_per_ev_atom": 1.16,
  "formation_enthalpy_0k_ev_per_atom": -0.1140,
  "polymorph_energy_ev_per_atom": 0.008
}